(1)
A plane-wave DFT calculation with PBE-GGA was carried out for a geometry-optimized Cs4RuO4 structure.

It has space group P4_2/n (No. 86, origin choice 2), with a = 8.835 Å, b = 8.835 Å, c = 6.237 Å, α = 90.00°, β = 90.00° and γ = 90.00°. The asymmetric unit holds Cs at (0.034, 0.674, 0.168), Ru at (0.250, 0.250, 0.250) and O at (0.065, 0.257, 0.411).

The polymorph energy (0 for the lowest one) comes out at 122 meV/atom. As for the magnetic moment: 0.00 Bohr magnetons per cell. The density of states at the Fermi level comes out at 4.14 states/eV/cell. Its crystal system is tetragonal.

=====

(2)
A plane-wave DFT calculation with PBE-GGA was carried out for a geometry-optimized CsRuO2 structure.

It has space group I-42d (No. 122), with a = 5.513 Å, b = 5.513 Å, c = 10.676 Å, α = 90.00°, β = 90.00° and γ = 90.00°. The asymmetric unit holds Cs at (0.000, 0.000, 0.000), Ru at (0.000, 0.000, 0.500) and O at (0.060, 0.250, 0.625).

As for the magnetic moment: 0.00 Bohr magnetons per cell. For the total DFT energy (no corrections), the calculation gives -23.3 eV/f.u. The density of states at the Fermi level comes out at 14.70 states/eV/cell. Its crystal system is tetragonal.

=====

(3)
A plane-wave DFT calculation with PBE-GGA was carried out for a geometry-optimized CsRuO2 structure.

It has space group R-3m (No. 166, hexagonal axes), with a = 3.6579 Å, b = 3.6579 Å, c = 22.3746 Å, α = 90.00°, β = 90.00° and γ = 120.00°. The asymmetric unit holds Cs at (0.0000, 0.0000, 0.0000), Ru at (0.0000, 0.0000, 0.5000) and O at (0.0000, 0.0000, 0.4221).

As for the magnetic moment: 0.00 Bohr magnetons per cell. For the total DFT energy (no corrections), the calculation gives -22.5 eV/f.u. The density of states at the Fermi level comes out at 5.96 states/eV/cell. Its crystal system is trigonal.

=====

(4)
A plane-wave DFT calculation with PBE-GGA was carried out for a geometry-optimized CsRuS2O8 structure.

It has space group R-3 (No. 148, hexagonal axes), with a = 4.8992 Å, b = 4.8992 Å, c = 27.2053 Å, α = 90.00°, β = 90.00° and γ = 120.00°. The asymmetric unit holds Cs at (0.0000, 0.0000, 0.0000), Ru at (0.0000, 0.0000, 0.5000), S at (0.0000, 0.0000, 0.2295), O at (0.0000, 0.0000, 0.2834) and O at (0.0256, 0.3028, 0.2117).

As for the magnetic moment: 3.02 Bohr magnetons per cell. For the total DFT energy (no corrections), the calculation gives -74.1 eV/f.u. The density of states at the Fermi level comes out at 7.57 states/eV/cell. Its crystal system is trigonal.

=====

(5)
A plane-wave DFT calculation with PBE-GGA was carried out for a geometry-optimized CsSbRu2O8 structure.

It has space group C2/m (No. 12), with a = 8.750 Å, b = 6.007 Å, c = 9.028 Å, α = 90.00°, β = 98.69° and γ = 90.00°. The asymmetric unit holds Cs at (0.000, 0.000, 0.000), Sb at (0.000, 0.000, 0.500), Ru at (0.102, 0.500, 0.292), O at (0.004, 0.245, 0.682), O at (0.183, 0.500, 0.126) and O at (0.244, 0.000, 0.541).

As for the magnetic moment: 4.40 Bohr magnetons per cell. For the total DFT energy (no corrections), the calculation gives -75.2 eV/f.u. The density of states at the Fermi level comes out at 9.60 states/eV/cell. Its crystal system is monoclinic.

=====

(6)
A plane-wave DFT calculation with PBE-GGA was carried out for a geometry-optimized CsSbRuO6 structure.

It has space group P312 (No. 149), with a = 5.4138 Å, b = 5.4138 Å, c = 6.5844 Å, α = 90.00°, β = 90.00° and γ = 120.00°. The asymmetric unit holds Cs at (0.0000, 0.0000, 0.0000), Sb at (0.6667, 0.3333, 0.5000), Ru at (0.3333, 0.6667, 0.5000) and O at (0.0137, 0.4445, 0.3216).

As for the magnetic moment: 0.00 Bohr magnetons per cell. For the total DFT energy (no corrections), the calculation gives -54.9 eV/f.u. Its crystal system is trigonal.

=====

- Which formula does entry 1 have?
  Cs4RuO4